Record 1
# K2NpPaS6

Crystalline K2NpPaS6 at its relaxed geometry (GGA-PBE, the Alexandria database).

## Properties
Energy relative to the elements, uncorrected in eV per atom: -1.365
SG: P2_1/c (14)

Lattice parameters (Å, degrees): 7.318 7.338 10.381 90.00 89.98 90.00
Site moments in Bohr magnetons follow the coordinates.
Positions (direct):
S 0.044 0.495 0.749  -0.08
S 0.222 0.225 0.477  -0.08
S 0.275 0.722 0.477  -0.08
S 0.956 0.505 0.251  -0.08
S 0.544 0.005 0.249  -0.08
S 0.778 0.775 0.523  -0.08
S 0.225 0.222 0.023  -0.08
S 0.278 0.725 0.023  -0.08
S 0.725 0.278 0.523  -0.08
S 0.456 0.995 0.751  -0.08
S 0.775 0.778 0.977  -0.08
S 0.722 0.275 0.977  -0.08
Np 0.500 0.000 0.000  2.62
Np 0.000 0.500 0.500  2.62
K 0.496 0.480 0.250  0.00
K 0.504 0.520 0.750  0.00
K 0.004 0.980 0.250  0.00
K 0.996 0.020 0.750  0.00
Pa 0.000 0.500 0.000  -0.02
Pa 0.500 0.000 0.500  -0.02

Record 2
# Li3Pa3TiS8

Crystalline Li3Pa3TiS8 at its relaxed geometry (GGA-PBE, the Alexandria database).

## Properties
Energy relative to the elements, uncorrected in eV per atom: -1.470
SG: R-3m (166)

Lattice parameters (Å, degrees): 7.580 7.580 7.699 119.49 90.00 120.00
Site moments in Bohr magnetons follow the coordinates.
Positions (direct):
Li 0.500 0.500 0.000  0.00
Li 0.000 0.000 0.000  0.00
Li 0.000 0.500 0.000  0.00
S 0.236 0.005 0.741  -0.03
S 0.756 0.512 0.768  -0.03
S 0.769 0.005 0.741  -0.03
S 0.231 0.995 0.259  -0.03
S 0.236 0.473 0.741  -0.03
S 0.764 0.995 0.259  -0.03
S 0.244 0.488 0.232  -0.03
S 0.764 0.527 0.259  -0.03
Pa 0.500 0.000 0.500  1.19
Pa 0.000 0.500 0.500  1.19
Pa 0.500 0.500 0.500  1.19
Ti 0.000 0.000 0.500  1.01

Record 3
# KTc2Ir

Crystalline KTc2Ir at its relaxed geometry (GGA-PBE, the Alexandria database).

## Properties
Formation enthalpy at 0 K in meV per atom: 758.3
SG: P4/mmm (123)
Energy above the lowest structure with this stoichiometry in meV per atom: 155.9

Lattice parameters (Å, degrees): 2.725 2.725 9.868 90.00 90.00 90.00
Positions (direct):
Tc 0.000 0.000 0.445
Tc 0.000 0.000 0.055
K 0.500 0.500 0.750
Ir 0.500 0.500 0.250

Record 4
# Sr3ErZn4

Crystalline Sr3ErZn4 at its relaxed geometry (GGA-PBE, the Alexandria database).

## Properties
Formation enthalpy at 0 K in meV per atom: -210.7
SG: P4/mmm (123)

Lattice parameters (Å, degrees): 3.778 3.778 15.403 90.00 90.00 90.00
Positions (direct):
Zn 0.000 0.000 0.630
Zn 0.000 0.000 0.902
Zn 0.000 0.000 0.370
Zn 0.000 0.000 0.098
Sr 0.500 0.500 0.237
Sr 0.500 0.500 0.763
Sr 0.500 0.500 0.500
Er 0.500 0.500 0.000

Record 5
# Ca3Pr6Sm

Crystalline Ca3Pr6Sm at its relaxed geometry (GGA-PBE, the Alexandria database).

## Properties
Formation enthalpy at 0 K in meV per atom: 182.3
SG: P-31m (162)

Lattice parameters (Å, degrees): 6.723 6.723 9.650 90.00 90.00 120.00
Positions (direct):
Pr 0.000 0.602 0.183
Pr 0.602 0.602 0.817
Pr 0.602 0.000 0.183
Pr 0.398 0.398 0.183
Pr 0.000 0.398 0.817
Pr 0.398 0.000 0.817
Sm 0.000 0.000 0.000
Ca 0.000 0.000 0.500
Ca 0.333 0.667 0.500
Ca 0.667 0.333 0.500

Record 6
# NaTbPrTl

Crystalline NaTbPrTl at its relaxed geometry (GGA-PBE, the Alexandria database).

## Properties
Formation enthalpy at 0 K in meV per atom: -79.6
SG: F-43m (216)

Lattice parameters (Å, degrees): 5.514 5.514 5.514 60.00 60.00 60.00
Positions (direct):
Na 0.000 0.000 0.000
Pr 0.750 0.750 0.750
Tl 0.500 0.500 0.500
Tb 0.250 0.250 0.250

Record 7
# AcLa5Y8

Crystalline AcLa5Y8 at its relaxed geometry (GGA-PBE, the Alexandria database).

## Properties
Formation enthalpy at 0 K in meV per atom: 227.5
SG: I-4 (82)

Lattice parameters (Å, degrees): 8.679 8.679 8.679 111.11 106.24 111.11
Positions (direct):
La 0.297 0.107 0.965
La 0.500 0.000 0.500
La 0.810 0.669 0.703
La 0.035 0.331 0.142
La 0.858 0.893 0.190
Y 0.720 0.248 0.321
Y 0.527 0.601 0.280
Y 0.910 0.079 0.660
Y 0.679 0.399 0.926
Y 0.074 0.752 0.473
Y 0.581 0.921 0.832
Y 0.340 0.251 0.419
Y 0.168 0.749 0.090
Ac 0.250 0.500 0.750

Record 8
# Ho2LuMn

Crystalline Ho2LuMn at its relaxed geometry (GGA-PBE, the Alexandria database).

## Properties
Formation enthalpy at 0 K in meV per atom: 124.4
SG: P4/mmm (123)
Energy above the lowest structure with this stoichiometry in meV per atom: 0.0

Lattice parameters (Å, degrees): 3.503 3.503 8.498 90.00 90.00 90.00
Site moments in Bohr magnetons follow the coordinates.
Positions (direct):
Ho 0.000 0.000 0.205  -0.11
Ho 0.000 0.000 0.795  -0.11
Lu 0.500 0.500 0.500  0.29
Mn 0.500 0.500 0.000  3.33

| no. | raw total energy (eV/atom) | V (A^3/atom) |
| --- | --- | --- |
| 1 | -6.30 | 27.9 |
| 2 | -6.48 | 21.0 |
| 3 | -6.91 | 18.3 |
| 4 | -2.05 | 27.5 |
| 5 | -3.76 | 37.8 |
| 6 | -3.35 | 29.6 |
| 7 | -5.52 | 35.9 |
| 8 | -5.59 | 26.1 |